1.
The following is a DFT calculation (PBE) of Ta4Ti4Mo3 after structural relaxation.

The structure belongs to space group C2/m (No. 12); the cell edges are 28.979, 4.531 and 2.870 Å and the angles 90.00°, 95.36° and 90.00°. The inequivalent atoms are Ta at (0.046, 0.000, 0.341), Ta at (0.181, 0.500, 0.453), Ti at (0.091, 0.500, 0.792), Ti at (0.225, 0.000, 0.940), Mo at (0.000, 0.500, 0.000) and Mo at (0.135, 0.000, 0.132).

The value obtained for the density of states at the Fermi level is 1.0068 states/eV/atom. The energy of formation comes out at -0.068 eV per atom. The crystal system is monoclinic.


2.
The following is a DFT calculation (PBE) of MgTe2As2 after structural relaxation.

The structure belongs to space group P4/mbm (No. 127); the cell edges are 7.859, 7.859 and 4.263 Å and the angles 90.00°, 90.00° and 90.00°. The inequivalent atoms are Mg at (0.000, 0.000, 0.000), Te at (0.167, 0.333, 0.500) and As at (0.181, 0.681, 0.000).

The calculation puts the formation energy without anion corrections at 0.017 eV per atom. The value obtained for the density of states at the Fermi level is 0.3522 states/eV/atom. The crystal system is tetragonal.


3.
The following is a DFT calculation (PBE) of TaMoRh6 after structural relaxation.

The structure belongs to space group P4/mmm (No. 123); the cell edges are 5.490, 5.490 and 3.881 Å and the angles 90.00°, 90.00° and 90.00°. The inequivalent atoms are Ta at (0.000, 0.000, 0.000), Mo at (0.500, 0.500, 0.000), Rh at (0.000, 0.500, 0.000) and Rh at (0.253, 0.253, 0.500).

The value obtained for the density of states at the Fermi level is 0.5273 states/eV/atom. The energy of formation comes out at -0.405 eV per atom. The crystal system is tetragonal.


4.
The following is a DFT calculation (PBE) of Tl3Ga2Br4 after structural relaxation.

The structure belongs to space group C2/c (No. 15); the cell edges are 14.480, 12.755 and 6.621 Å and the angles 90.00°, 94.09° and 90.00°. The inequivalent atoms are Tl at (0.000, 0.124, 0.250), Tl at (0.151, 0.380, 0.566), Ga at (0.177, 0.190, 0.052), Br at (0.076, 0.373, 0.025) and Br at (0.139, 0.121, 0.672).

The calculation puts the formation energy without anion corrections at -0.572 eV per atom. The value obtained for the density of states at the Fermi level is 0.1294 states/eV/atom. The crystal system is monoclinic.


The evaluated size of the total moment for the records listed, in turn: 0.00, 0.00, 0.00, 0.00 μB/f.u..